No. 1
Here is a geometry-optimized Er2InNi9 structure from Alexandria. Energies are from PBE.

Results
Its crystal system is trigonal. The calculation puts the density of states at the Fermi level at 1.14 states/eV per atom. The calculation puts the uncorrected energy at -5.604 eV per atom.

abc: 4.9078 4.9078 24.1936
angles: 90.00 90.00 120.00
Space group R-3m (No. 166, hexagonal axes)
Symmetry-distinct sites (fractional):
Er: 0.0000 0.0000 0.1367 [6 per cell]
In: 0.0000 0.0000 0.0000 [3 per cell]
Ni: 0.0000 0.0000 0.3332 [6 per cell]
Ni: 0.0000 0.0000 0.5000 [3 per cell]
Ni: 0.0017 0.5009 0.9172 [18 per cell]



No. 2
Here is a geometry-optimized ErIn2Ni9 structure from Alexandria. Energies are from PBE.

Results
Its crystal system is tetragonal. The calculation puts the density of states at the Fermi level at 1.53 states/eV per atom. The calculation puts the uncorrected energy at -5.393 eV per atom.

abc: 8.236 8.236 4.826
angles: 90.00 90.00 90.00
Space group P4/mbm (No. 127)
Symmetry-distinct sites (fractional):
Er: 0.000 0.000 0.000 [2 per cell]
In: 0.125 0.375 0.000 [4 per cell]
Ni: 0.000 0.500 0.500 [2 per cell]
Ni: 0.064 0.205 0.500 [8 per cell]
Ni: 0.177 0.677 0.249 [8 per cell]



No. 3
Here is a geometry-optimized Er3In3Ni2 structure from Alexandria. Energies are from PBE.

Results
Its crystal system is monoclinic. The calculation puts the density of states at the Fermi level at 0.68 states/eV per atom. The calculation puts the uncorrected energy at -4.640 eV per atom.

abc: 16.753 4.335 4.978
angles: 90.00 100.82 90.00
Space group C2/m (No. 12)
Symmetry-distinct sites (fractional):
Er: 0.000 0.000 0.000 [2 per cell]
Er: 0.168 0.000 0.599 [4 per cell]
In: 0.000 0.500 0.500 [2 per cell]
In: 0.138 0.500 0.086 [4 per cell]
Ni: 0.228 0.000 0.131 [4 per cell]



No. 4
Here is a geometry-optimized ErInNi structure from Alexandria. Energies are from PBE.

Results
Its crystal system is hexagonal. The calculation puts the density of states at the Fermi level at 1.00 states/eV per atom. The calculation puts the uncorrected energy at -4.867 eV per atom.

abc: 7.4519 7.4519 3.7320
angles: 90.00 90.00 120.00
Space group P-62m (No. 189)
Symmetry-distinct sites (fractional):
Er: 0.0000 0.5897 0.0000 [3 per cell]
In: 0.0000 0.2564 0.5000 [3 per cell]
Ni: 0.0000 0.0000 0.0000 [1 per cell]
Ni: 0.3333 0.6667 0.5000 [2 per cell]



No. 5
Here is a geometry-optimized Er6In2Ni structure from Alexandria. Energies are from PBE.

Results
Its crystal system is hexagonal. The calculation puts the density of states at the Fermi level at 1.18 states/eV per atom. The calculation puts the uncorrected energy at -4.626 eV per atom.

abc: 8.6781 8.6781 3.6733
angles: 90.00 90.00 120.00
Space group P-62m (No. 189)
Symmetry-distinct sites (fractional):
Er: 0.0000 0.3972 0.0000 [3 per cell]
Er: 0.0000 0.7640 0.5000 [3 per cell]
In: 0.3333 0.6667 0.5000 [2 per cell]
Ni: 0.0000 0.0000 0.0000 [1 per cell]



No. 6
Here is a geometry-optimized ErInNi structure from Alexandria. Energies are from PBE.

Results
Its crystal system is cubic. The calculation puts the density of states at the Fermi level at 1.34 states/eV per atom. The calculation puts the uncorrected energy at -4.717 eV per atom.

abc: 6.425 6.425 6.425
angles: 90.00 90.00 90.00
Space group F-43m (No. 216)
Symmetry-distinct sites (fractional):
Er: 0.000 0.000 0.000 [4 per cell]
In: 0.000 0.000 0.500 [4 per cell]
Ni: 0.250 0.250 0.750 [4 per cell]



No. 7
Here is a geometry-optimized ErInNi structure from Alexandria. Energies are from PBE.

Results
Its crystal system is orthorhombic. The calculation puts the density of states at the Fermi level at 0.80 states/eV per atom. The calculation puts the uncorrected energy at -4.873 eV per atom.

abc: 13.022 3.670 7.575
angles: 90.00 90.00 90.00
Space group Pmma (No. 51)
Symmetry-distinct sites (fractional):
Er: 0.045 0.000 0.218 [4 per cell]
Er: 0.250 0.000 0.849 [2 per cell]
In: 0.117 0.500 0.571 [4 per cell]
In: 0.250 0.500 0.192 [2 per cell]
Ni: 0.092 0.500 0.941 [4 per cell]
Ni: 0.250 0.000 0.449 [2 per cell]



No. 8
Here is a geometry-optimized ErIn3Ni2 structure from Alexandria. Energies are from PBE.

Results
Its crystal system is monoclinic. The calculation puts the density of states at the Fermi level at 0.73 states/eV per atom. The calculation puts the uncorrected energy at -4.351 eV per atom.

abc: 16.170 4.065 8.522
angles: 90.00 121.72 90.00
Space group C2/m (No. 12)
Symmetry-distinct sites (fractional):
Er: 0.124 0.000 0.124 [4 per cell]
In: 0.000 0.000 0.336 [4 per cell]
In: 0.170 0.500 0.871 [4 per cell]
In: 0.171 0.500 0.471 [4 per cell]
Ni: 0.000 0.500 0.139 [4 per cell]
Ni: 0.210 0.000 0.710 [4 per cell]



No. 9
Here is a geometry-optimized ErInNi structure from Alexandria. Energies are from PBE.

Results
Its crystal system is hexagonal. The calculation puts the density of states at the Fermi level at 0.68 states/eV per atom. The calculation puts the uncorrected energy at -4.731 eV per atom.

abc: 4.5295 4.5295 3.5035
angles: 90.00 90.00 120.00
Space group P-6m2 (No. 187)
Symmetry-distinct sites (fractional):
Er: 0.0000 0.0000 0.0000 [1 per cell]
In: 0.6667 0.3333 0.5000 [1 per cell]
Ni: 0.3333 0.6667 0.5000 [1 per cell]



No. 10
Here is a geometry-optimized Er2In6Ni structure from Alexandria. Energies are from PBE.

Results
Its crystal system is orthorhombic. The calculation puts the density of states at the Fermi level at 0.55 states/eV per atom. The calculation puts the uncorrected energy at -3.698 eV per atom.

abc: 3.793 4.698 24.797
angles: 90.00 90.00 90.00
Space group Amm2 (No. 38)
Symmetry-distinct sites (fractional):
Er: 0.000 0.000 0.000 [2 per cell]
Er: 0.000 0.000 0.332 [2 per cell]
In: 0.000 0.000 0.620 [2 per cell]
In: 0.000 0.000 0.745 [2 per cell]
In: 0.500 0.000 0.104 [2 per cell]
In: 0.500 0.000 0.221 [2 per cell]
In: 0.500 0.000 0.442 [2 per cell]
In: 0.500 0.000 0.871 [2 per cell]
Ni: 0.500 0.000 0.544 [2 per cell]



No. 11
Here is a geometry-optimized Er3InNi8 structure from Alexandria. Energies are from PBE.

Results
Its crystal system is trigonal. The calculation puts the density of states at the Fermi level at 0.82 states/eV per atom. The calculation puts the uncorrected energy at -5.667 eV per atom.

abc: 4.9995 4.9995 24.6240
angles: 90.00 90.00 120.00
Space group R3m (No. 160, hexagonal axes)
Symmetry-distinct sites (fractional):
Er: 0.0000 0.0000 0.0000 [3 per cell]
Er: 0.0000 0.0000 0.1272 [3 per cell]
Er: 0.0000 0.0000 0.6195 [3 per cell]
In: 0.0000 0.0000 0.4967 [3 per cell]
Ni: 0.0000 0.0000 0.3117 [3 per cell]
Ni: 0.0000 0.0000 0.8115 [3 per cell]
Ni: 0.0005 0.5002 0.0611 [9 per cell]
Ni: 0.0019 0.5009 0.5615 [9 per cell]



No. 12
Here is a geometry-optimized Er2In8Ni structure from Alexandria. Energies are from PBE.

Results
Its crystal system is tetragonal. The calculation puts the density of states at the Fermi level at 0.63 states/eV per atom. The calculation puts the uncorrected energy at -3.653 eV per atom.

abc: 4.623 4.623 12.076
angles: 90.00 90.00 90.00
Space group P4/mmm (No. 123)
Symmetry-distinct sites (fractional):
Er: 0.000 0.000 0.192 [2 per cell]
In: 0.000 0.500 0.000 [2 per cell]
In: 0.000 0.500 0.378 [4 per cell]
In: 0.500 0.500 0.193 [2 per cell]
Ni: 0.000 0.000 0.500 [1 per cell]



What is the uncorrected energy in the eleventh record? -5.667 eV per atom